Cs2In3SnPb4: optimized geometry, PBE-GGA.

formation energy from the elements = -109 meV/atom
space-group type = P-4m2
calculated volume = 368.0 Å³ per cell

Unit cell a=5.466 b=5.466 c=12.320 alpha=90.00 beta=90.00 gamma=90.00
Element x y z (fractional)
In 0.000 0.500 0.126
In 0.500 0.000 0.874
In 0.000 0.000 0.500
Pb 0.500 0.500 0.000
Pb 0.000 0.500 0.375
Pb 0.500 0.000 0.625
Pb 0.000 0.000 0.000
Cs 0.500 0.000 0.254
Cs 0.000 0.500 0.746
Sn 0.500 0.500 0.500

Cs2In3Sn4Pb: optimized geometry, PBE-GGA.

formation energy from the elements = -159 meV/atom
space-group type = P-4m2
calculated volume = 348.1 Å³ per cell

Unit cell a=5.398 b=5.398 c=11.943 alpha=90.00 beta=90.00 gamma=90.00
Element x y z (fractional)
Cs 0.500 0.000 0.250
Cs 0.000 0.500 0.750
Sn 0.000 0.000 0.000
Sn 0.500 0.500 0.000
Sn 0.000 0.500 0.373
Sn 0.500 0.000 0.627
In 0.000 0.000 0.500
In 0.000 0.500 0.124
In 0.500 0.000 0.876
Pb 0.500 0.500 0.500

CsIn2SnPb: optimized geometry, PBE-GGA.

formation energy from the elements = -144 meV/atom
space-group type = I-4m2
calculated volume = 175.2 Å³ per cell

Unit cell a=5.303 b=5.303 c=7.270 alpha=111.39 beta=111.39 gamma=90.00
Element x y z (fractional)
In 0.619 0.619 0.239
In 0.381 0.381 0.761
Pb 0.750 0.250 0.500
Cs 0.000 0.000 0.000
Sn 0.250 0.750 0.500

CsIn2Sn2Pb: optimized geometry, PBE-GGA.

formation energy from the elements = -91 meV/atom
space-group type = P-3m1
calculated volume = 213.3 Å³ per cell

Unit cell a=5.246 b=5.246 c=8.948 alpha=90.00 beta=90.00 gamma=120.00
Element x y z (fractional)
In 0.333 0.667 0.655
In 0.667 0.333 0.345
Cs 0.000 0.000 0.000
Sn 0.333 0.667 0.291
Sn 0.667 0.333 0.709
Pb 0.000 0.000 0.500

CsInSn2Pb: optimized geometry, PBE-GGA.

formation energy from the elements = -136 meV/atom
space-group type = Imm2
calculated volume = 182.2 Å³ per cell

Unit cell a=4.921 b=5.352 c=7.814 alpha=110.03 beta=108.35 gamma=90.00
Element x y z (fractional)
Cs 0.443 0.443 0.886
Pb 0.821 0.821 0.643
Sn 0.699 0.199 0.398
Sn 0.068 0.068 0.137
In 0.180 0.680 0.360

CsInTe3Pb: optimized geometry, PBE-GGA.

energy relative to the elements, uncorrected = -13.0 kcal/mol of atoms
space-group type = P2_1/m
calculated volume = 515.7 Å³ per cell

Unit cell a=4.787 b=10.130 c=11.318 alpha=110.01 beta=90.00 gamma=90.00
Element x y z (fractional)
Te 0.250 0.080 0.879
Te 0.750 0.503 0.180
Te 0.750 0.920 0.121
Te 0.250 0.806 0.452
Te 0.750 0.194 0.548
Te 0.250 0.497 0.820
Pb 0.750 0.332 0.899
Pb 0.250 0.668 0.101
Cs 0.250 0.247 0.253
Cs 0.750 0.753 0.747
In 0.250 0.094 0.642
In 0.750 0.906 0.358

CsInTe4Pb2: optimized geometry, PBE-GGA.

energy relative to the elements, uncorrected = -8.1 kcal/mol of atoms
space-group type = Imma
calculated volume = 600.0 Å³ per cell

Unit cell a=9.452 b=9.452 c=9.308 alpha=119.51 beta=119.51 gamma=89.29
Element x y z (fractional)
Te 0.737 0.764 0.505
Te 0.263 0.236 0.495
Te 0.733 0.211 0.972
Te 0.264 0.237 0.005
Te 0.289 0.767 0.528
Te 0.711 0.233 0.472
Te 0.736 0.763 0.995
Te 0.267 0.789 0.028
In 0.000 0.000 0.000
In 0.500 0.500 0.500
Cs 0.000 0.500 0.000
Cs 0.000 0.500 0.500
Pb 0.500 0.500 0.000
Pb 0.000 0.000 0.500
Pb 0.500 0.000 0.500
Pb 0.500 0.000 0.000

Cs2TiInPb: optimized geometry, PBE-GGA.

formation energy from the elements = 791 meV/atom
space-group type = P4/mmm
calculated volume = 238.4 Å³ per cell

Unit cell a=6.535 b=5.582 c=6.535 alpha=90.00 beta=90.00 gamma=90.00
Element x y z (fractional)
Ti 0.000 0.000 0.000
Pb 0.500 0.500 0.500
Cs 0.500 0.000 0.000
Cs 0.000 0.000 0.500
In 0.000 0.500 0.000